# 1
{
  "formula": "PrSc2P",
  "functional": "PBE-GGA",
  "state": "optimized geometry",
  "magnetic_moment_mub_per_atom": 0.00,
  "formation_energy_ev_per_fu": -2.67,
  "lattice_angstrom": [[1.821, 1.051, 8.854], [-1.821, 1.051, 8.854], [0.000, -2.103, 8.854]],
  "species": ["Pr", "Sc", "Sc", "P"],
  "frac_coords": [[0.000, 0.000, 0.000], [0.223, 0.223, 0.223], [0.777, 0.777, 0.777], [0.500, 0.500, 0.500]]
}


# 2
{
  "formula": "PrScP2",
  "functional": "PBE-GGA",
  "state": "optimized geometry",
  "magnetic_moment_mub_per_atom": 0.00,
  "formation_energy_ev_per_fu": -5.82,
  "e_above_lowest_polymorph_ev_per_atom": 0.0000,
  "lattice_angstrom": [[1.998, 1.154, 6.471], [-1.998, 1.154, 6.471], [0.000, -2.307, 6.471]],
  "species": ["Pr", "Sc", "P", "P"],
  "frac_coords": [[0.000, 0.000, 0.000], [0.500, 0.500, 0.500], [0.241, 0.241, 0.241], [0.759, 0.759, 0.759]]
}


# 3
{
  "formula": "PrScP2",
  "functional": "PBE-GGA",
  "state": "optimized geometry",
  "magnetic_moment_mub_per_atom": 0.00,
  "formation_energy_ev_per_fu": -5.13,
  "e_above_lowest_polymorph_ev_per_atom": 0.1728,
  "lattice_angstrom": [[1.983, 1.145, 6.719], [-1.983, 1.145, 6.719], [0.000, -2.290, 6.719]],
  "species": ["Pr", "Sc", "P", "P"],
  "frac_coords": [[0.000, 0.000, 0.000], [0.828, 0.828, 0.828], [0.421, 0.421, 0.421], [0.572, 0.572, 0.572]]
}


# 4
{
  "formula": "PrSm2ScP4",
  "functional": "PBE-GGA",
  "state": "optimized geometry",
  "magnetic_moment_mub_per_atom": 0.00,
  "formation_energy_ev_per_fu": -11.88,
  "lattice_angstrom": [[7.012, 0.000, 0.000], [0.000, 4.061, 0.000], [-2.337, 0.000, 6.618]],
  "species": ["Pr", "Sm", "Sm", "Sc", "P", "P", "P", "P"],
  "frac_coords": [[0.000, 0.000, 0.000], [0.000, 0.500, 0.500], [0.500, 0.000, 0.500], [0.500, 0.500, 0.000], [0.261, 0.500, 0.247], [0.265, 0.000, 0.761], [0.735, 0.000, 0.239], [0.739, 0.500, 0.753]]
}


# 5
{
  "formula": "Tb2PrScP4",
  "functional": "PBE-GGA",
  "state": "optimized geometry",
  "magnetic_moment_mub_per_atom": 0.00,
  "formation_energy_ev_per_fu": -12.06,
  "lattice_angstrom": [[6.943, 0.000, 0.000], [0.000, 4.020, 0.000], [-2.315, 0.000, 6.556]],
  "species": ["Tb", "Tb", "Pr", "Sc", "P", "P", "P", "P"],
  "frac_coords": [[0.000, 0.000, 0.000], [0.500, 0.500, 0.000], [0.000, 0.500, 0.500], [0.500, 0.000, 0.500], [0.262, 0.000, 0.752], [0.264, 0.500, 0.257], [0.736, 0.500, 0.743], [0.738, 0.000, 0.248]]
}


# 6
{
  "formula": "PrScTeP",
  "functional": "PBE-GGA",
  "state": "optimized geometry",
  "formation_energy_uncorrected_kj_per_mol_fu": -558,
  "magnetic_moment_mub_per_atom": 0.00,
  "lattice_angstrom": [[2.028, 1.171, 7.162], [-2.028, 1.171, 7.162], [0.000, -2.342, 7.162]],
  "species": ["Pr", "Sc", "Te", "P"],
  "frac_coords": [[0.000, 0.000, 0.000], [0.807, 0.807, 0.807], [0.228, 0.228, 0.228], [0.414, 0.414, 0.414]]
}


# 7
{
  "formula": "PrTh2ScP4",
  "functional": "PBE-GGA",
  "state": "optimized geometry",
  "magnetic_moment_mub_per_atom": 0.00,
  "formation_energy_ev_per_fu": -11.88,
  "lattice_angstrom": [[7.018, 0.000, 0.000], [0.000, 4.096, 0.000], [-2.394, 0.000, 6.670]],
  "species": ["Pr", "Th", "Th", "Sc", "P", "P", "P", "P"],
  "frac_coords": [[0.000, 0.000, 0.000], [0.500, 0.000, 0.500], [0.500, 0.500, 0.000], [0.000, 0.500, 0.500], [0.238, 0.000, 0.736], [0.247, 0.500, 0.259], [0.753, 0.500, 0.741], [0.762, 0.000, 0.264]]
}


# 8
{
  "formula": "Pr2ThScP4",
  "functional": "PBE-GGA",
  "state": "optimized geometry",
  "magnetic_moment_mub_per_atom": 0.00,
  "formation_energy_ev_per_fu": -11.98,
  "lattice_angstrom": [[7.046, 0.000, 0.000], [0.000, 4.101, 0.000], [-2.365, 0.000, 6.706]],
  "species": ["Pr", "Pr", "Th", "Sc", "P", "P", "P", "P"],
  "frac_coords": [[0.000, 0.000, 0.000], [0.500, 0.500, 0.000], [0.000, 0.500, 0.500], [0.500, 0.000, 0.500], [0.256, 0.000, 0.737], [0.265, 0.500, 0.269], [0.735, 0.500, 0.731], [0.744, 0.000, 0.263]]
}


# 9
{
  "formula": "Pr2TmScP4",
  "functional": "PBE-GGA",
  "state": "optimized geometry",
  "magnetic_moment_mub_per_atom": 0.00,
  "formation_energy_ev_per_fu": -11.94,
  "lattice_angstrom": [[6.969, 0.000, 0.000], [0.000, 4.041, 0.000], [-2.338, 0.000, 6.589]],
  "species": ["Pr", "Pr", "Tm", "Sc", "P", "P", "P", "P"],
  "frac_coords": [[0.000, 0.000, 0.000], [0.000, 0.500, 0.500], [0.500, 0.000, 0.500], [0.500, 0.500, 0.000], [0.269, 0.500, 0.252], [0.273, 0.000, 0.762], [0.727, 0.000, 0.238], [0.731, 0.500, 0.748]]
}


# 10
{
  "formula": "Pr2ScUP4",
  "functional": "PBE-GGA",
  "state": "optimized geometry",
  "magnetic_moment_mub_per_atom": 0.24,
  "formation_energy_ev_per_fu": -10.79,
  "lattice_angstrom": [[6.922, 0.000, 0.000], [0.000, 4.015, 0.000], [-2.298, 0.000, 6.614]],
  "species": ["Pr", "Pr", "Sc", "U", "P", "P", "P", "P"],
  "frac_coords": [[0.000, 0.000, 0.000], [0.500, 0.500, 0.000], [0.000, 0.500, 0.500], [0.500, 0.000, 0.500], [0.241, 0.000, 0.723], [0.255, 0.500, 0.274], [0.745, 0.500, 0.726], [0.759, 0.000, 0.277]]
}


# 11
{
  "formula": "PrY2ScP4",
  "functional": "PBE-GGA",
  "state": "optimized geometry",
  "magnetic_moment_mub_per_atom": 0.00,
  "formation_energy_ev_per_fu": -12.12,
  "lattice_angstrom": [[6.931, 0.000, 0.000], [0.000, 4.012, 0.000], [-2.312, 0.000, 6.546]],
  "species": ["Pr", "Y", "Y", "Sc", "P", "P", "P", "P"],
  "frac_coords": [[0.000, 0.000, 0.000], [0.000, 0.500, 0.500], [0.500, 0.000, 0.500], [0.500, 0.500, 0.000], [0.263, 0.500, 0.253], [0.264, 0.000, 0.756], [0.736, 0.000, 0.244], [0.737, 0.500, 0.747]]
}


# 12
{
  "formula": "Pr2YScP4",
  "functional": "PBE-GGA",
  "state": "optimized geometry",
  "magnetic_moment_mub_per_atom": 0.00,
  "formation_energy_ev_per_fu": -11.97,
  "lattice_angstrom": [[7.002, 0.000, 0.000], [0.000, 4.058, 0.000], [-2.346, 0.000, 6.616]],
  "species": ["Pr", "Pr", "Y", "Sc", "P", "P", "P", "P"],
  "frac_coords": [[0.000, 0.000, 0.000], [0.000, 0.500, 0.500], [0.500, 0.000, 0.500], [0.500, 0.500, 0.000], [0.266, 0.500, 0.249], [0.271, 0.000, 0.764], [0.729, 0.000, 0.236], [0.734, 0.500, 0.751]]
}


no.,electronic total energy (eV per atom)
1,-6.381
2,-6.937
3,-6.764
4,-6.758
5,-6.759
6,-6.361
7,-7.434
8,-7.116
9,-6.743
10,-7.452
11,-7.225
12,-6.996